Here is a PBEsol-optimized structure of HgMoRh3 from Alexandria via LeMat-Bulk. Energies are from SCAN.

a b c (Å): 4.7614 4.7614 4.7614
angles (deg): 90.00 90.00 90.00
Fractional coordinates of all 5 atoms:
Hg  0.0000  0.0000  0.0000
Mo  0.5000  0.5000  0.5000
Rh  0.0000  0.0000  0.5000
Rh  0.0000  0.5000  0.0000
Rh  0.5000  0.0000  0.0000

For the density of states at the Fermi level, the calculation gives 5.08 states/eV per cell. As for the total moment: 1.91 μB per formula unit. The value obtained for the formation energy is 2.120 eV per atom.

---

Here is a PBEsol-optimized structure of HgMoRu2 from Alexandria via LeMat-Bulk. Energies are from SCAN.

a b c (Å): 2.9119 2.9119 7.3162
angles (deg): 90.00 90.00 90.00
Fractional coordinates of all 4 atoms:
Hg  0.0000  0.0000  0.0000
Mo  0.0000  0.0000  0.5000
Ru  0.5000  0.5000  0.2785
Ru  0.5000  0.5000  0.7215

For the density of states at the Fermi level, the calculation gives 4.16 states/eV per cell. As for the total moment: 0.00 μB per formula unit. The value obtained for the formation energy is 0.300 eV per atom.

---

Here is a PBEsol-optimized structure of HgMoRu2 from Alexandria via LeMat-Bulk. Energies are from SCAN.

a b c (Å): 2.7518 2.7518 9.0873
angles (deg): 90.00 90.00 114.60
Fractional coordinates of all 4 atoms:
Hg  0.0000  0.0000  0.0000
Mo  0.0000  0.0000  0.5000
Ru  0.5000  0.5000  0.2709
Ru  0.5000  0.5000  0.7291

For the density of states at the Fermi level, the calculation gives 4.09 states/eV per cell. As for the total moment: 0.01 μB per formula unit. The value obtained for the formation energy is 0.459 eV per atom.

---

Here is a PBEsol-optimized structure of HgMoRu2 from Alexandria via LeMat-Bulk. Energies are from SCAN.

a b c (Å): 2.7881 3.9747 5.5486
angles (deg): 90.00 90.00 90.00
Fractional coordinates of all 4 atoms:
Hg  0.0000  0.0000  0.0000
Mo  0.5000  0.5000  0.2954
Ru  0.0000  0.0000  0.5006
Ru  0.5000  0.5000  0.7283

For the density of states at the Fermi level, the calculation gives 4.27 states/eV per cell. As for the total moment: 0.00 μB per formula unit. The value obtained for the formation energy is 0.377 eV per atom.